Record 1
# Pr3ErTl3

A relaxed structure of Pr3ErTl3 (PBE, the Alexandria database).

Summary:
magnetization	0.0	μB/cell
formation energy from the elements	-20.4	kJ/mol of atoms

Lattice parameters (Å, degrees): 6.910 6.910 9.747 91.10 91.10 104.41
Fractional positions:
Pr  0.592  0.592  0.316
Pr  0.180  0.820  0.500
Pr  0.820  0.180  0.500
Pr  0.243  0.757  0.000
Pr  0.757  0.243  0.000
Pr  0.408  0.408  0.684
Er  0.724  0.724  0.955
Er  0.276  0.276  0.045
Tl  0.968  0.968  0.228
Tl  0.944  0.523  0.736
Tl  0.523  0.944  0.736
Tl  0.056  0.477  0.264
Tl  0.477  0.056  0.264
Tl  0.032  0.032  0.772

Record 2
# YNbTe2N

A relaxed structure of YNbTe2N (PBE, the Alexandria database).

Summary:
magnetization	1.7	μB/cell
E above lowest polymorph	1058	meV/atom
formation energy from raw total energies	0.627	eV/atom

Lattice parameters (Å, degrees): 5.867 4.065 5.867 90.00 90.00 90.00
Last column: magnetic moment on the atom in μB.
Fractional positions:
Y  0.000  0.000  0.000  0.01
Nb  0.500  0.500  0.500  2.36
Te  0.000  0.000  0.500  -0.21
Te  0.500  0.000  0.000  -0.22
N  0.000  0.500  0.000  -0.37

Record 3
# Pa2ReOs3

A relaxed structure of Pa2ReOs3 (PBE, the Alexandria database).

Summary:
magnetization	0.0	μB/cell
formation energy from the elements	-30.5	kJ/mol of atoms

Lattice parameters (Å, degrees): 5.526 5.526 8.294 90.00 90.00 120.00
Fractional positions:
Pa  0.667  0.333  0.426
Pa  0.333  0.667  0.574
Pa  0.333  0.667  0.926
Pa  0.667  0.333  0.074
Re  0.000  0.000  0.500
Re  0.000  0.000  0.000
Os  0.170  0.340  0.250
Os  0.340  0.170  0.750
Os  0.830  0.660  0.750
Os  0.170  0.830  0.250
Os  0.830  0.170  0.750
Os  0.660  0.830  0.250

Record 4
# Co2As

A relaxed structure of Co2As (PBE, the Alexandria database).

Summary:
magnetization	10.3	μB/cell
formation energy from the elements	-13.6	kJ/mol of atoms

Lattice parameters (Å, degrees): 11.895 11.895 3.578 90.00 90.00 120.00
Last column: magnetic moment on the atom in μB.
Fractional positions:
As  0.000  0.000  0.000  -0.01
As  0.503  0.000  0.000  -0.01
As  0.497  0.497  0.000  -0.01
As  0.000  0.503  0.000  -0.01
As  0.336  0.159  0.500  -0.02
As  0.822  0.664  0.500  -0.02
As  0.841  0.178  0.500  -0.02
As  0.178  0.841  0.500  -0.02
As  0.664  0.822  0.500  -0.02
As  0.159  0.336  0.500  -0.02
As  0.333  0.667  0.000  -0.02
As  0.667  0.333  0.000  -0.02
Co  0.312  0.000  0.000  -0.29
Co  0.688  0.688  0.000  -0.29
Co  0.000  0.312  0.000  -0.29
Co  0.797  0.000  0.000  1.19
Co  0.203  0.203  0.000  1.19
Co  0.000  0.797  0.000  1.19
Co  0.173  0.544  0.500  0.70
Co  0.371  0.827  0.500  0.70
Co  0.456  0.629  0.500  0.70
Co  0.629  0.456  0.500  0.70
Co  0.827  0.371  0.500  0.70
Co  0.544  0.173  0.500  0.70
Co  0.128  0.000  0.500  0.22
Co  0.872  0.872  0.500  0.22
Co  0.000  0.128  0.500  0.22
Co  0.628  0.000  0.500  0.58
Co  0.372  0.372  0.500  0.58
Co  0.000  0.628  0.500  0.58
Co  0.175  0.719  0.000  0.23
Co  0.543  0.825  0.000  0.23
Co  0.281  0.457  0.000  0.23
Co  0.457  0.281  0.000  0.23
Co  0.825  0.543  0.000  0.23
Co  0.719  0.175  0.000  0.23

Record 5
# CaBPdRh2

A relaxed structure of CaBPdRh2 (PBE, the Alexandria database).

Summary:
magnetization	0.0	μB/cell
formation energy from the elements	-48.6	kJ/mol of atoms

Lattice parameters (Å, degrees): 4.212 4.212 4.281 90.00 90.00 90.00
Fractional positions:
Ca  0.500  0.500  0.500
B  0.000  0.000  0.000
Rh  0.000  0.500  0.000
Rh  0.500  0.000  0.000
Pd  0.000  0.000  0.500

Record 6
# Nb5ReMo6

A relaxed structure of Nb5ReMo6 (PBE, the Alexandria database).

Summary:
magnetization	0.0	μB/cell
formation energy from the elements	-14.1	kJ/mol of atoms

Lattice parameters (Å, degrees): 4.546 6.433 7.187 90.00 108.43 90.00
Fractional positions:
Re  0.000  0.000  0.000
Nb  0.666  0.500  0.332
Nb  0.334  0.000  0.668
Nb  0.000  0.500  0.000
Nb  0.666  0.000  0.332
Nb  0.334  0.500  0.668
Mo  0.835  0.752  0.671
Mo  0.835  0.248  0.671
Mo  0.500  0.247  0.000
Mo  0.500  0.753  0.000
Mo  0.165  0.752  0.329
Mo  0.165  0.248  0.329

Record 7
# Sr2TlB2Rh5

A relaxed structure of Sr2TlB2Rh5 (PBE, the Alexandria database).

Summary:
magnetization	0.0	μB/cell
formation energy from the elements	-33.1	kJ/mol of atoms

Lattice parameters (Å, degrees): 3.084 10.256 10.256 90.00 90.00 90.00
Fractional positions:
Sr  0.000  0.679  0.179
Sr  0.000  0.321  0.821
Sr  0.000  0.179  0.321
Sr  0.000  0.821  0.679
Tl  0.000  0.000  0.000
Tl  0.000  0.500  0.500
B  0.000  0.118  0.618
B  0.000  0.882  0.382
B  0.000  0.618  0.882
B  0.000  0.382  0.118
Rh  0.500  0.236  0.069
Rh  0.500  0.764  0.931
Rh  0.500  0.069  0.764
Rh  0.500  0.736  0.431
Rh  0.500  0.931  0.236
Rh  0.500  0.264  0.569
Rh  0.500  0.569  0.736
Rh  0.500  0.431  0.264
Rh  0.500  0.500  0.000
Rh  0.500  0.000  0.500

Record 8
# NaRe2S

A relaxed structure of NaRe2S (PBE, the Alexandria database).

Summary:
magnetization	0.0	μB/cell
formation energy from raw total energies	0.795	eV/atom

Lattice parameters (Å, degrees): 3.968 3.968 9.474 77.91 77.91 90.00
Fractional positions:
Re  0.041  0.125  0.250
Re  0.709  0.625  0.250
Re  0.375  0.959  0.750
Re  0.875  0.291  0.750
S  0.000  0.000  0.000
S  0.750  0.250  0.500
Na  0.500  0.500  0.000
Na  0.250  0.750  0.500

Record 9
# NaPr4Hg7

A relaxed structure of NaPr4Hg7 (PBE, the Alexandria database).

Summary:
magnetization	0.0	μB/cell
formation energy from the elements	-30.4	kJ/mol of atoms

Lattice parameters (Å, degrees): 5.554 10.062 7.165 80.92 67.20 73.98
Fractional positions:
Na  0.000  0.000  0.000
Pr  0.583  0.222  0.612
Pr  0.417  0.778  0.388
Pr  0.742  0.671  0.844
Pr  0.258  0.329  0.156
Hg  0.797  0.915  0.492
Hg  0.203  0.085  0.508
Hg  0.074  0.665  0.186
Hg  0.926  0.335  0.814
Hg  0.367  0.530  0.737
Hg  0.500  0.000  0.000
Hg  0.633  0.470  0.263

Record 10
# NbNiPd

A relaxed structure of NbNiPd (PBE, the Alexandria database).

Summary:
magnetization	0.0	μB/cell
E above lowest polymorph	21	meV/atom
formation energy from the elements	-30.6	kJ/mol of atoms

Lattice parameters (Å, degrees): 7.612 2.798 9.100 90.00 114.78 90.00
Fractional positions:
Nb  0.733  0.000  0.000
Nb  0.267  0.000  0.000
Nb  0.733  0.500  0.500
Nb  0.267  0.500  0.500
Ni  0.424  0.000  0.331
Ni  0.576  0.000  0.669
Ni  0.424  0.500  0.831
Ni  0.576  0.500  0.169
Pd  0.906  0.000  0.331
Pd  0.094  0.000  0.669
Pd  0.906  0.500  0.831
Pd  0.094  0.500  0.169

Record 11
# Al4Os5W

A relaxed structure of Al4Os5W (PBE, the Alexandria database).

Summary:
magnetization	0.0	μB/cell
formation energy from the elements	-31.3	kJ/mol of atoms

Lattice parameters (Å, degrees): 3.025 3.025 15.356 90.00 90.00 90.00
Fractional positions:
Al  0.000  0.000  0.209
Al  0.000  0.000  0.402
Al  0.000  0.000  0.598
Al  0.000  0.000  0.791
Os  0.500  0.500  0.106
Os  0.500  0.500  0.304
Os  0.500  0.500  0.500
Os  0.500  0.500  0.696
Os  0.500  0.500  0.894
W  0.000  0.000  0.000

Record 12
# Rb4CdO2

A relaxed structure of Rb4CdO2 (PBE, the Alexandria database).

Summary:
magnetization	0.0	μB/cell
formation energy from raw total energies	-0.145	eV/atom

Lattice parameters (Å, degrees): 6.171 6.171 8.963 69.86 69.86 90.00
Fractional positions:
O  0.612  0.612  0.776
O  0.388  0.388  0.224
Rb  0.766  0.766  0.467
Rb  0.234  0.234  0.533
Rb  0.000  0.500  0.000
Rb  0.500  0.000  0.000
Cd  0.000  0.000  0.000

Ordered DOS at the Fermi energy results: 15.467; 6.127; 13.818; 39.903; 5.502; 5.757; 8.705; 7.409; 9.487; 10.288; 7.479; 2.234; unit states/eV per cell.